Entry 1:
The following is a PBE calculation of RbCa2TlIr after structural relaxation, from the Alexandria database.

Properties
As for the total magnetization: 0.000 μB/cell. Its space-group type is P4/mmm (123). As for the density: 5404 kg/m3. The value obtained for the formation enthalpy at 0 K is -0.130 eV per atom.

a = 5.624 Å, b = 5.624 Å, c = 5.463 Å
α = 90.00°, β = 90.00°, γ = 90.00°
Element x y z (fractional)
Rb  0.000  0.000  0.000
Ca  0.000  0.500  0.500
Ca  0.500  0.000  0.500
Tl  0.500  0.500  0.000
Ir  0.500  0.500  0.500

---

Entry 2:
The following is a PBE calculation of RbCaTl2Ir after structural relaxation, from the Alexandria database.

Properties
As for the total magnetization: 0.000 μB/cell. Its space-group type is P4/mmm (123). As for the density: 6421 kg/m3. The value obtained for the formation enthalpy at 0 K is 0.620 eV per atom. The energy above the most stable polymorph in this dataset is 698 meV per atom.

a = 6.026 Å, b = 6.026 Å, c = 5.174 Å
α = 90.00°, β = 90.00°, γ = 90.00°
Element x y z (fractional)
Rb  0.000  0.000  0.000
Ca  0.500  0.500  0.500
Tl  0.000  0.500  0.500
Tl  0.500  0.000  0.500
Ir  0.500  0.500  0.000

---

Entry 3:
The following is a PBE calculation of RbCa2YIr after structural relaxation, from the Alexandria database.

Properties
As for the total magnetization: 0.000 μB/cell. Its space-group type is P4/mmm (123). As for the density: 4002 kg/m3. The value obtained for the formation enthalpy at 0 K is -0.136 eV per atom.

a = 5.840 Å, b = 5.840 Å, c = 5.435 Å
α = 90.00°, β = 90.00°, γ = 90.00°
Element x y z (fractional)
Rb  0.000  0.000  0.000
Ca  0.000  0.500  0.500
Ca  0.500  0.000  0.500
Y  0.500  0.500  0.000
Ir  0.500  0.500  0.500

---

Entry 4:
The following is a PBE calculation of CaReIr after structural relaxation, from the Alexandria database.

Properties
As for the total magnetization: 3.299 μB/cell. Its space-group type is F-43m (216). As for the density: 10763 kg/m3. The value obtained for the formation enthalpy at 0 K is 1.870 eV per atom. The energy above the most stable polymorph in this dataset is 2014 meV per atom.

a = 4.503 Å, b = 4.503 Å, c = 4.503 Å
α = 60.00°, β = 60.00°, γ = 60.00°
Element x y z (fractional)
Ca  0.000  0.000  0.000
Re  0.250  0.250  0.250
Ir  0.750  0.750  0.750

---

Entry 5:
The following is a PBE calculation of CaReIr after structural relaxation, from the Alexandria database.

Properties
As for the total magnetization: 0.000 μB/cell. Its space-group type is Cm (8). As for the density: 11152 kg/m3. The value obtained for the formation enthalpy at 0 K is -0.005 eV per atom. The energy above the most stable polymorph in this dataset is 139 meV per atom.

a = 5.790 Å, b = 5.790 Å, c = 5.213 Å
α = 90.75°, β = 90.75°, γ = 45.49°
Element x y z (fractional)
Ca  0.000  0.000  0.000
Ca  0.541  0.541  0.500
Re  0.264  0.264  0.724
Re  0.734  0.734  0.007
Ir  0.279  0.279  0.225
Ir  0.811  0.811  0.510

---

Entry 6:
The following is a PBE calculation of CaReIr after structural relaxation, from the Alexandria database.

Properties
As for the total magnetization: 0.000 μB/cell. Its space-group type is C2/m (12). As for the density: 11730 kg/m3. The value obtained for the formation enthalpy at 0 K is -0.097 eV per atom. The energy above the most stable polymorph in this dataset is 48 meV per atom.

a = 5.492 Å, b = 5.492 Å, c = 7.345 Å
α = 128.70°, β = 128.70°, γ = 46.96°
Element x y z (fractional)
Ca  0.075  0.075  0.332
Ca  0.925  0.925  0.668
Re  0.350  0.350  0.939
Re  0.650  0.650  0.061
Ir  0.330  0.330  0.258
Ir  0.670  0.670  0.742

---

Entry 7:
The following is a PBE calculation of Ca2ReIr after structural relaxation, from the Alexandria database.

Properties
As for the total magnetization: 0.000 μB/cell. Its space-group type is P2/m (10). As for the density: 9885 kg/m3. The value obtained for the formation enthalpy at 0 K is 0.530 eV per atom. The energy above the most stable polymorph in this dataset is 348 meV per atom.

a = 2.972 Å, b = 4.737 Å, c = 5.575 Å
α = 90.00°, β = 101.02°, γ = 90.00°
Element x y z (fractional)
Ca  0.031  0.000  0.254
Ca  0.969  0.000  0.746
Re  0.500  0.500  0.000
Ir  0.500  0.500  0.500

---

Entry 8:
The following is a PBE calculation of Ca2ReIr after structural relaxation, from the Alexandria database.

Properties
As for the total magnetization: 2.555 μB/cell. Its space-group type is Fm-3m (225). As for the density: 9168 kg/m3. The value obtained for the formation enthalpy at 0 K is 0.765 eV per atom. The energy above the most stable polymorph in this dataset is 583 meV per atom.

a = 4.898 Å, b = 4.898 Å, c = 4.898 Å
α = 60.00°, β = 60.00°, γ = 60.00°
Element x y z (fractional)
Ca  0.250  0.250  0.250
Ca  0.750  0.750  0.750
Re  0.000  0.000  0.000
Ir  0.500  0.500  0.500

---

Entry 9:
The following is a PBE calculation of CaReIr after structural relaxation, from the Alexandria database.

Properties
As for the total magnetization: 0.000 μB/cell. Its space-group type is Pnma (62). As for the density: 11789 kg/m3. The value obtained for the formation enthalpy at 0 K is -0.035 eV per atom. The energy above the most stable polymorph in this dataset is 110 meV per atom.

a = 7.392 Å, b = 4.399 Å, c = 7.251 Å
α = 90.00°, β = 90.00°, γ = 90.00°
Element x y z (fractional)
Ca  0.004  0.250  0.172
Ca  0.496  0.750  0.672
Ca  0.504  0.250  0.328
Ca  0.996  0.750  0.828
Re  0.155  0.250  0.586
Re  0.345  0.750  0.086
Re  0.655  0.250  0.914
Re  0.845  0.750  0.414
Ir  0.180  0.750  0.400
Ir  0.320  0.250  0.900
Ir  0.680  0.750  0.100
Ir  0.820  0.250  0.600

---

Entry 10:
The following is a PBE calculation of CaReIr after structural relaxation, from the Alexandria database.

Properties
As for the total magnetization: 0.000 μB/cell. Its space-group type is P-6m2 (187). As for the density: 12994 kg/m3. The value obtained for the formation enthalpy at 0 K is 0.442 eV per atom. The energy above the most stable polymorph in this dataset is 587 meV per atom.

a = 4.673 Å, b = 4.673 Å, c = 2.828 Å
α = 90.00°, β = 90.00°, γ = 120.00°
Element x y z (fractional)
Ca  0.000  0.000  0.000
Re  0.333  0.667  0.500
Ir  0.667  0.333  0.500

---

Entry 11:
The following is a PBE calculation of Ca4ReIr after structural relaxation, from the Alexandria database.

Properties
As for the total magnetization: 2.239 μB/cell. Its space-group type is F-43m (216). As for the density: 6218 kg/m3. The value obtained for the formation enthalpy at 0 K is 1.286 eV per atom.

a = 5.882 Å, b = 5.882 Å, c = 5.882 Å
α = 60.00°, β = 60.00°, γ = 60.00°
Element x y z (fractional)
Ca  0.125  0.125  0.125
Ca  0.125  0.125  0.625
Ca  0.125  0.625  0.125
Ca  0.625  0.125  0.125
Re  0.500  0.500  0.500
Ir  0.750  0.750  0.750

---

Entry 12:
The following is a PBE calculation of CaReIr after structural relaxation, from the Alexandria database.

Properties
As for the total magnetization: 0.000 μB/cell. Its space-group type is I4mm (107). As for the density: 12546 kg/m3. The value obtained for the formation enthalpy at 0 K is 0.192 eV per atom. The energy above the most stable polymorph in this dataset is 336 meV per atom.

a = 6.799 Å, b = 6.799 Å, c = 6.799 Å
α = 155.16°, β = 155.16°, γ = 35.41°
Element x y z (fractional)
Ca  0.000  0.000  0.000
Re  0.696  0.696  0.000
Ir  0.318  0.318  0.000

---

Q: What is the total magnetization in the twelfth record?
A: 0.000 μB/cell

---

Q: The highest formation enthalpy at 0 K belongs to which entry?
A: number 4

---

Repeat the third record exactly.
The following is a PBE calculation of RbCa2YIr after structural relaxation, from the Alexandria database.

Properties
As for the total magnetization: 0.000 μB/cell. Its space-group type is P4/mmm (123). As for the density: 4002 kg/m3. The value obtained for the formation enthalpy at 0 K is -0.136 eV per atom.

a = 5.840 Å, b = 5.840 Å, c = 5.435 Å
α = 90.00°, β = 90.00°, γ = 90.00°
Element x y z (fractional)
Rb  0.000  0.000  0.000
Ca  0.000  0.500  0.500
Ca  0.500  0.000  0.500
Y  0.500  0.500  0.000
Ir  0.500  0.500  0.500